(1)
Below is a relaxed structure of PmPr5Ho2Tm, with properties calculated at the PBE level.

Cell lengths 5.664, 20.617, 10.801 Å; angles 90.00, 90.00, 90.00 degrees
Space group Cmc2_1 (No. 36)
Symmetry-distinct sites (fractional):
Pm: 0.000 0.200 0.000 (multiplicity 4)
Pr: 0.000 0.015 0.008 (multiplicity 4)
Pr: 0.000 0.280 0.301 (multiplicity 4)
Pr: 0.000 0.295 0.694 (multiplicity 4)
Pr: 0.000 0.386 0.013 (multiplicity 4)
Pr: 0.000 0.483 0.735 (multiplicity 4)
Ho: 0.000 0.111 0.731 (multiplicity 4)
Ho: 0.000 0.115 0.299 (multiplicity 4)
Tm: 0.000 0.407 0.455 (multiplicity 4)

**Total moment**: 0.000 μB per atom
**E_form**: 0.141 eV/atom

---

(2)
Below is a relaxed structure of Pm2Pr3HoTm6, with properties calculated at the PBE level.

Cell lengths 6.208, 10.750, 11.729 Å; angles 90.00, 100.13, 90.00 degrees
Space group C2/m (No. 12)
Symmetry-distinct sites (fractional):
Pm: 0.000 0.166 0.000 (multiplicity 4)
Pr: 0.000 0.000 0.500 (multiplicity 2)
Pr: 0.000 0.333 0.500 (multiplicity 4)
Ho: 0.000 0.500 0.000 (multiplicity 2)
Tm: 0.249 0.333 0.247 (multiplicity 8)
Tm: 0.250 0.000 0.248 (multiplicity 4)

**Total moment**: 0.000 μB per atom
**E_form**: 0.019 eV/atom

---

(3)
Below is a relaxed structure of PmPr2HoTm4, with properties calculated at the PBE level.

Cell lengths 6.782, 11.839, 13.225 Å; angles 90.00, 90.00, 90.00 degrees
Space group Imma (No. 74)
Symmetry-distinct sites (fractional):
Pm: 0.000 0.000 0.000 (multiplicity 4)
Pr: 0.000 0.000 0.500 (multiplicity 4)
Pr: 0.250 0.250 0.250 (multiplicity 4)
Ho: 0.250 0.250 0.750 (multiplicity 4)
Tm: 0.000 0.005 0.750 (multiplicity 8)
Tm: 0.250 0.250 0.505 (multiplicity 8)

**Total moment**: 0.005 μB per atom
**E_form**: 0.417 eV/atom

---

(4)
Below is a relaxed structure of PmPr3Ho2Tm6, with properties calculated at the PBE level.

Cell lengths 6.188, 10.713, 11.719 Å; angles 90.00, 100.11, 90.00 degrees
Space group C2/m (No. 12)
Symmetry-distinct sites (fractional):
Pm: 0.000 0.000 0.000 (multiplicity 2)
Pr: 0.000 0.167 0.500 (multiplicity 4)
Pr: 0.000 0.500 0.500 (multiplicity 2)
Ho: 0.000 0.333 0.000 (multiplicity 4)
Tm: 0.249 0.167 0.246 (multiplicity 8)
Tm: 0.249 0.500 0.247 (multiplicity 4)

**Total moment**: 0.000 μB per atom
**E_form**: 0.023 eV/atom

---

(5)
Below is a relaxed structure of Pm3Pr2Ho6Tm, with properties calculated at the PBE level.

Cell lengths 6.214, 10.760, 11.825 Å; angles 90.00, 100.05, 90.00 degrees
Space group C2/m (No. 12)
Symmetry-distinct sites (fractional):
Pm: 0.000 0.000 0.000 (multiplicity 2)
Pm: 0.000 0.333 0.000 (multiplicity 4)
Pr: 0.000 0.166 0.500 (multiplicity 4)
Ho: 0.249 0.500 0.250 (multiplicity 4)
Ho: 0.250 0.166 0.250 (multiplicity 8)
Tm: 0.000 0.500 0.500 (multiplicity 2)

**Total moment**: 0.000 μB per atom
**E_form**: 0.015 eV/atom

---

(6)
Below is a relaxed structure of PmPr2Ho2Tm2, with properties calculated at the PBE level.

Cell lengths 17.744, 3.497, 8.488 Å; angles 90.00, 116.87, 90.00 degrees
Space group C2/m (No. 12)
Symmetry-distinct sites (fractional):
Pm: 0.000 0.000 0.000 (multiplicity 2)
Pr: 0.148 0.500 0.883 (multiplicity 4)
Ho: 0.071 0.500 0.405 (multiplicity 4)
Tm: 0.212 0.000 0.302 (multiplicity 4)

**Total moment**: 0.000 μB per atom
**E_form**: 0.149 eV/atom

---

(7)
Below is a relaxed structure of PmPr2HoTm5, with properties calculated at the PBE level.

Cell lengths 8.667, 8.667, 15.461 Å; angles 90.00, 90.00, 90.00 degrees
Space group I4/mcm (No. 140)
Symmetry-distinct sites (fractional):
Pm: 0.000 0.000 0.250 (multiplicity 4)
Pr: 0.117 0.383 0.000 (multiplicity 8)
Ho: 0.000 0.500 0.250 (multiplicity 4)
Tm: 0.000 0.000 0.000 (multiplicity 4)
Tm: 0.212 0.288 0.360 (multiplicity 16)

**Total moment**: 0.000 μB per atom
**E_form**: 0.266 eV/atom

---

(8)
Below is a relaxed structure of PmPrHo3Tm, with properties calculated at the PBE level.

Cell lengths 5.054, 10.108, 7.980 Å; angles 90.00, 108.41, 90.00 degrees
Space group P2_1/m (No. 11)
Symmetry-distinct sites (fractional):
Pm: 0.000 0.250 0.000 (multiplicity 2)
Pr: 0.500 0.000 0.000 (multiplicity 2)
Ho: 0.169 0.000 0.338 (multiplicity 4)
Ho: 0.331 0.250 0.662 (multiplicity 2)
Tm: 0.331 0.750 0.663 (multiplicity 2)

**Total moment**: 0.000 μB per atom
**E_form**: 0.024 eV/atom

---

(9)
Below is a relaxed structure of PmPr2Ho5Tm, with properties calculated at the PBE level.

Cell lengths 8.687, 8.687, 15.619 Å; angles 90.00, 90.00, 90.00 degrees
Space group I4/mcm (No. 140)
Symmetry-distinct sites (fractional):
Pm: 0.000 0.000 0.250 (multiplicity 4)
Pr: 0.118 0.382 0.000 (multiplicity 8)
Ho: 0.000 0.000 0.000 (multiplicity 4)
Ho: 0.212 0.288 0.360 (multiplicity 16)
Tm: 0.000 0.500 0.250 (multiplicity 4)

**Total moment**: 0.000 μB per atom
**E_form**: 0.270 eV/atom

---

(10)
Below is a relaxed structure of Pm2PrHoTm2, with properties calculated at the PBE level.

Cell lengths 7.013, 9.839, 5.650 Å; angles 90.00, 90.00, 90.00 degrees
Space group Pnnm (No. 58)
Symmetry-distinct sites (fractional):
Pm: 0.247 0.166 0.000 (multiplicity 4)
Pr: 0.000 0.500 0.000 (multiplicity 2)
Ho: 0.000 0.000 0.500 (multiplicity 2)
Tm: 0.250 0.333 0.500 (multiplicity 4)

**Total moment**: 0.000 μB per atom
**E_form**: 0.067 eV/atom

---

(11)
Below is a relaxed structure of Pm4PrHo2Tm2, with properties calculated at the PBE level.

Cell lengths 18.609, 3.599, 8.809 Å; angles 90.00, 90.03, 90.00 degrees
Space group C2/m (No. 12)
Symmetry-distinct sites (fractional):
Pm: 0.055 0.000 0.335 (multiplicity 4)
Pm: 0.222 0.500 0.332 (multiplicity 4)
Pr: 0.000 0.500 0.000 (multiplicity 2)
Ho: 0.112 0.500 0.670 (multiplicity 4)
Tm: 0.168 0.000 0.999 (multiplicity 4)

**Total moment**: 0.000 μB per atom
**E_form**: 0.020 eV/atom

---

(12)
Below is a relaxed structure of Pm6Pr3Y2Ho, with properties calculated at the PBE level.

Cell lengths 6.321, 10.953, 12.065 Å; angles 90.00, 100.07, 90.00 degrees
Space group C2/m (No. 12)
Symmetry-distinct sites (fractional):
Pm: 0.248 0.166 0.245 (multiplicity 8)
Pm: 0.250 0.000 0.755 (multiplicity 4)
Pr: 0.000 0.167 0.500 (multiplicity 4)
Pr: 0.000 0.500 0.500 (multiplicity 2)
Y: 0.000 0.333 0.000 (multiplicity 4)
Ho: 0.000 0.000 0.000 (multiplicity 2)

**Total moment**: 0.000 μB per atom
**E_form**: 0.016 eV/atom

---

(13)
Below is a relaxed structure of Pm2PrY6Ho3, with properties calculated at the PBE level.

Cell lengths 6.218, 10.761, 11.849 Å; angles 90.00, 100.03, 90.00 degrees
Space group C2/m (No. 12)
Symmetry-distinct sites (fractional):
Pm: 0.000 0.167 0.000 (multiplicity 4)
Pr: 0.000 0.500 0.000 (multiplicity 2)
Y: 0.248 0.167 0.746 (multiplicity 8)
Y: 0.249 0.500 0.746 (multiplicity 4)
Ho: 0.000 0.000 0.500 (multiplicity 2)
Ho: 0.000 0.333 0.500 (multiplicity 4)

**Total moment**: 0.000 μB per atom
**E_form**: 0.019 eV/atom

---

(14)
Below is a relaxed structure of PmPr3Y6Ho2, with properties calculated at the PBE level.

Cell lengths 6.256, 10.830, 11.896 Å; angles 90.00, 100.05, 90.00 degrees
Space group C2/m (No. 12)
Symmetry-distinct sites (fractional):
Pm: 0.000 0.000 0.000 (multiplicity 2)
Pr: 0.000 0.167 0.500 (multiplicity 4)
Pr: 0.000 0.500 0.500 (multiplicity 2)
Y: 0.248 0.500 0.247 (multiplicity 4)
Y: 0.249 0.167 0.247 (multiplicity 8)
Ho: 0.000 0.333 0.000 (multiplicity 4)

**Total moment**: 0.000 μB per atom
**E_form**: 0.016 eV/atom

---

(15)
Below is a relaxed structure of Pm2Pr6YHo, with properties calculated at the PBE level.

Cell lengths 9.299, 15.560, 9.856 Å; angles 90.00, 98.16, 90.00 degrees
Space group C2/c (No. 15)
Symmetry-distinct sites (fractional):
Pm: 0.247 0.051 0.043 (multiplicity 8)
Pr: 0.061 0.182 0.447 (multiplicity 8)
Pr: 0.103 0.395 0.618 (multiplicity 8)
Pr: 0.209 0.222 0.810 (multiplicity 8)
Y: 0.000 0.023 0.750 (multiplicity 4)
Ho: 0.000 0.410 0.250 (multiplicity 4)

**Total moment**: 0.000 μB per atom
**E_form**: 0.111 eV/atom

---

(16)
Below is a relaxed structure of PmPr6Y2Ho3, with properties calculated at the PBE level.

Cell lengths 6.324, 10.954, 11.935 Å; angles 90.00, 100.15, 90.00 degrees
Space group C2/m (No. 12)
Symmetry-distinct sites (fractional):
Pm: 0.000 0.000 0.000 (multiplicity 2)
Pr: 0.249 0.000 0.748 (multiplicity 4)
Pr: 0.249 0.333 0.748 (multiplicity 8)
Y: 0.000 0.333 0.000 (multiplicity 4)
Ho: 0.000 0.167 0.500 (multiplicity 4)
Ho: 0.000 0.500 0.500 (multiplicity 2)

**Total moment**: 0.000 μB per atom
**E_form**: 0.010 eV/atom

---

(17)
Below is a relaxed structure of Pm2PrYHo, with properties calculated at the PBE level.

Cell lengths 8.475, 11.709, 7.291 Å; angles 90.00, 90.00, 90.00 degrees
Space group Cmcm (No. 63)
Symmetry-distinct sites (fractional):
Pm: 0.191 0.000 0.000 (multiplicity 8)
Pr: 0.000 0.225 0.250 (multiplicity 4)
Y: 0.000 0.492 0.250 (multiplicity 4)
Ho: 0.000 0.230 0.750 (multiplicity 4)

**Total moment**: 0.001 μB per atom
**E_form**: 0.396 eV/atom

---

(18)
Below is a relaxed structure of Pm6PrY2Ho, with properties calculated at the PBE level.

Cell lengths 9.330, 15.300, 9.669 Å; angles 90.00, 97.16, 90.00 degrees
Space group C2/c (No. 15)
Symmetry-distinct sites (fractional):
Pm: 0.064 0.176 0.443 (multiplicity 8)
Pm: 0.096 0.390 0.619 (multiplicity 8)
Pm: 0.208 0.226 0.816 (multiplicity 8)
Pr: 0.000 0.406 0.250 (multiplicity 4)
Y: 0.245 0.048 0.047 (multiplicity 8)
Ho: 0.000 0.032 0.750 (multiplicity 4)

**Total moment**: 0.000 μB per atom
**E_form**: 0.119 eV/atom

---

(19)
Below is a relaxed structure of Pm2Pr2Y2Ho, with properties calculated at the PBE level.

Cell lengths 5.7652, 5.7652, 24.8466 Å; angles 90.00, 90.00, 120.00 degrees
Space group R-3m (No. 166, hexagonal axes)
Symmetry-distinct sites (fractional):
Pm: 0.0000 0.0000 0.2141 (multiplicity 6)
Pr: 0.0000 0.0000 0.3611 (multiplicity 6)
Y: 0.0000 0.0000 0.0717 (multiplicity 6)
Ho: 0.0000 0.0000 0.5000 (multiplicity 3)

**Total moment**: 0.000 μB per atom
**E_form**: 0.122 eV/atom

---

no.,raw total energy (eV/atom)
1,-4.556
2,-4.584
3,-4.179
4,-4.567
5,-4.631
6,-4.480
7,-4.317
8,-4.598
9,-4.360
10,-4.566
11,-4.634
12,-5.013
13,-5.547
14,-5.569
15,-4.811
16,-4.997
17,-4.669
18,-4.960
19,-5.102